[1]
Density functional theory data (PBE-GGA) for an optimized crystal structure of SiPRu.

Output
E_form (uncorrected) ... -0.38 eV per formula unit
Energy ... -6.83 eV/atom

Lattice parameters (Å, degrees): 3.2288 3.2288 8.0470 90.00 90.00 90.00
Space group P4/nmm (No. 129, origin choice 2)
Asymmetric unit:
Si 0.2500 0.2500 0.0887
P 0.2500 0.7500 0.5000
Ru 0.2500 0.2500 0.7847



[2]
Density functional theory data (PBE-GGA) for an optimized crystal structure of TbCeBr.

Output
E_form (uncorrected) ... -1.92 eV per formula unit
Energy ... -4.72 eV/atom

Lattice parameters (Å, degrees): 3.6609 3.6609 7.6358 90.00 90.00 120.00
Space group P3m1 (No. 156)
Asymmetric unit:
Tb 0.0000 0.0000 0.0000
Ce 0.3333 0.6667 0.6294
Br 0.6667 0.3333 0.2955



[3]
Density functional theory data (PBE-GGA) for an optimized crystal structure of V2Co9Pd.

Output
Energy ... -7.33 eV/atom
DFT formation energy ... -0.05 eV/atom

Lattice parameters (Å, degrees): 3.5794 3.5794 10.7295 90.00 90.00 90.00
Space group P4/mmm (No. 123)
Asymmetric unit:
V 0.0000 0.0000 0.1615
Co 0.0000 0.5000 0.0000
Co 0.0000 0.5000 0.3265
Co 0.5000 0.5000 0.1625
Co 0.5000 0.5000 0.5000
Pd 0.0000 0.0000 0.5000



[4]
Density functional theory data (PBE-GGA) for an optimized crystal structure of KZn2P.

Output
Energy ... -2.19 eV/atom
DFT formation energy ... 0.08 eV/atom

Lattice parameters (Å, degrees): 3.4817 3.4817 7.5402 90.00 90.00 90.00
Space group P4mm (No. 99)
Asymmetric unit:
K 0.0000 0.0000 0.0000
Zn 0.0000 0.0000 0.4231
Zn 0.5000 0.5000 0.6595
P 0.5000 0.5000 0.3315



[5]
Density functional theory data (PBE-GGA) for an optimized crystal structure of SrAg3Cl6.

Output
E_form (uncorrected) ... -10.04 eV per formula unit
Energy ... -3.14 eV/atom

Lattice parameters (Å, degrees): 9.2544 13.3703 4.4086 90.00 90.00 90.00
Space group Cmmm (No. 65)
Asymmetric unit:
Sr 0.0000 0.0000 0.0000
Ag 0.0000 0.5000 0.0000
Ag 0.2500 0.2500 0.5000
Cl 0.0000 0.1451 0.5000
Cl 0.1974 0.3739 0.0000



[6]
Density functional theory data (PBE-GGA) for an optimized crystal structure of Pt2Rh5.

Output
Energy ... -6.98 eV/atom
DFT formation energy ... -0.01 eV/atom

Lattice parameters (Å, degrees): 2.7356 2.7356 27.3047 90.00 90.00 90.00
Space group I4/mmm (No. 139)
Asymmetric unit:
Pt 0.0000 0.0000 0.2117
Rh 0.0000 0.0000 0.0702
Rh 0.0000 0.0000 0.3611
Rh 0.0000 0.0000 0.5000



[7]
Density functional theory data (PBE-GGA) for an optimized crystal structure of CaY2Ta.

Output
Energy ... -5.16 eV/atom
DFT formation energy ... 1.53 eV/atom

Lattice parameters (Å, degrees): 5.6181 5.6181 20.4430 90.00 90.00 90.00
Space group I4_1/amd (No. 141, origin choice 2)
Asymmetric unit:
Ca 0.0000 0.2500 0.3750
Y 0.0000 0.0000 0.0000
Ta 0.0000 0.2500 0.8750



[8]
Density functional theory data (PBE-GGA) for an optimized crystal structure of TcF.

Output
E_form (uncorrected) ... -1.45 eV per formula unit
Energy ... -6.84 eV/atom

Lattice parameters (Å, degrees): 7.5461 7.5461 3.4494 90.00 90.00 120.00
Space group P6_3/m (No. 176)
Asymmetric unit:
Tc 0.0685 0.4522 0.2500
F 0.1330 0.8494 0.7500



[9]
Density functional theory data (PBE-GGA) for an optimized crystal structure of Be2MoAu.

Output
Energy ... -5.35 eV/atom
DFT formation energy ... 0.04 eV/atom

Lattice parameters (Å, degrees): 2.7985 2.7985 6.3567 90.00 90.00 90.00
Space group P4mm (No. 99)
Asymmetric unit:
Be 0.0000 0.0000 0.0000
Be 0.5000 0.5000 0.1665
Mo 0.0000 0.0000 0.4165
Au 0.5000 0.5000 0.7630



[10]
Density functional theory data (PBE-GGA) for an optimized crystal structure of Sm2ThCu2Ge2.

Output
Energy ... -5.37 eV/atom
DFT formation energy ... -0.47 eV/atom

Lattice parameters (Å, degrees): 4.1909 4.1909 32.5599 90.00 90.00 120.00
Space group R-3m (No. 166, hexagonal axes)
Asymmetric unit:
Sm 0.0000 0.0000 0.1222
Th 0.0000 0.0000 0.0000
Cu 0.0000 0.0000 0.3916
Ge 0.0000 0.0000 0.2670



[11]
Density functional theory data (PBE-GGA) for an optimized crystal structure of Ac4SiGe2.

Output
E_form (uncorrected) ... -3.46 eV per formula unit
Energy ... -4.94 eV/atom

Lattice parameters (Å, degrees): 16.1551 4.6726 7.8762 90.00 115.20 90.00
Space group C2/m (No. 12)
Asymmetric unit:
Ac 0.1257 0.0000 0.4386
Ac 0.1389 0.5000 0.0099
Si 0.0000 0.0000 0.0000
Ge 0.2225 0.5000 0.7144